No. 1
DFT (SCAN) results for a PBEsol-optimized structure of KHfGaOs2.

Output
- M_tot: 0.270 μB per atom
- Energy of formation from the pure elements: 1854 meV/atom
- VASP energy: -44.367 eV/atom

Cell: 4.791 4.791 5.670 Å, 90.00 90.00 90.00°
Fractional coordinates of all 5 atoms:
K  0.000  0.000  0.000
Hf  0.000  0.000  0.500
Ga  0.500  0.500  0.000
Os  0.000  0.500  0.500
Os  0.500  0.000  0.500

***

No. 2
DFT (SCAN) results for a PBEsol-optimized structure of Ca2HfTaIr.

Output
- M_tot: 0.000 μB per atom
- Energy of formation from the pure elements: 697 meV/atom
- VASP energy: -43.239 eV/atom

Cell: 5.214 5.214 4.888 Å, 90.00 90.00 90.00°
Fractional coordinates of all 5 atoms:
Ca  0.000  0.500  0.000
Ca  0.500  0.000  0.000
Hf  0.000  0.000  0.500
Ta  0.500  0.500  0.500
Ir  0.500  0.500  0.000

***

No. 3
DFT (SCAN) results for a PBEsol-optimized structure of Ba2InPb.

Output
- M_tot: 0.000 μB per atom
- Energy of formation from the pure elements: -640 meV/atom
- VASP energy: -47.707 eV/atom
- Polymorph energy (0 for the lowest one): 73 meV per atom

Cell: 5.951 5.951 5.951 Å, 120.06 120.06 89.90°
Fractional coordinates of all 4 atoms:
Ba  0.250  0.750  0.500
Ba  0.750  0.250  0.500
In  0.000  0.000  0.000
Pb  0.500  0.500  0.000

***

No. 4
DFT (SCAN) results for a PBEsol-optimized structure of ThCdHg2.

Output
- M_tot: 0.000 μB per atom
- Energy of formation from the pure elements: -333 meV/atom
- VASP energy: -66.000 eV/atom

Cell: 5.114 5.114 5.114 Å, 60.00 60.00 60.00°
Fractional coordinates of all 4 atoms:
Th  0.000  0.000  0.000
Cd  0.500  0.500  0.500
Hg  0.250  0.250  0.250
Hg  0.750  0.750  0.750